Entry 1:
Compound: MnBePb2
Source: the Alexandria database
Functional: PBE
Structure: relaxed

Uncorrected energy (eV/atom): -4.56
E_form (eV/atom): 0.517

CIF file:
```
data_MnBePb2
_space_group_name_H-M_alt 'C 1 m 1'
_space_group_IT_number 8
_cell_length_a 12.934
_cell_length_b 3.330
_cell_length_c 4.273
_cell_angle_alpha 90.00
_cell_angle_beta 108.25
_cell_angle_gamma 90.00
loop_
_space_group_symop_operation_xyz
'x,y,z'
'x,-y,z'
'x+1/2,y+1/2,z'
'x+1/2,-y+1/2,z'
loop_
_atom_site_label
_atom_site_type_symbol
_atom_site_fract_x
_atom_site_fract_y
_atom_site_fract_z
Mn1 Mn 0.000 0.000 0.000
Be1 Be 0.133 0.500 0.130
Pb1 Pb 0.189 0.000 0.683
Pb2 Pb 0.422 0.000 0.425
```


Entry 2:
Compound: MnBeRh2Pb
Source: the Alexandria database
Functional: PBE
Structure: relaxed

Uncorrected energy (eV/atom): -5.60
E_form (eV/atom): 0.666

CIF file:
```
data_MnBeRh2Pb
_space_group_name_H-M_alt 'P 4/m m m'
_space_group_IT_number 123
_space_group_name_Hall '-P 4 2'
_cell_length_a 4.512
_cell_length_b 4.512
_cell_length_c 4.215
_cell_angle_alpha 90.00
_cell_angle_beta 90.00
_cell_angle_gamma 90.00
loop_
_atom_site_label
_atom_site_type_symbol
_atom_site_fract_x
_atom_site_fract_y
_atom_site_fract_z
Mn1 Mn 0.000 0.000 0.000
Be1 Be 0.000 0.000 0.500
Rh1 Rh 0.000 0.500 0.000
Pb1 Pb 0.500 0.500 0.500
```


Entry 3:
Compound: MnBePb2S
Source: the Alexandria database
Functional: PBE
Structure: relaxed

Uncorrected formation energy (meV/atom): 606
Uncorrected energy (eV/atom): -4.28

CIF file:
```
data_MnBePb2S
_space_group_name_H-M_alt 'P 4/m m m'
_space_group_IT_number 123
_space_group_name_Hall '-P 4 2'
_cell_length_a 5.195
_cell_length_b 5.195
_cell_length_c 4.108
_cell_angle_alpha 90.00
_cell_angle_beta 90.00
_cell_angle_gamma 90.00
loop_
_atom_site_label
_atom_site_type_symbol
_atom_site_fract_x
_atom_site_fract_y
_atom_site_fract_z
Mn1 Mn 0.000 0.000 0.000
Be1 Be 0.500 0.500 0.500
Pb1 Pb 0.000 0.500 0.000
S1 S 0.000 0.000 0.500
```


Entry 4:
Compound: TiMnBePb2
Source: the Alexandria database
Functional: PBE
Structure: relaxed

Uncorrected energy (eV/atom): -4.79
E_form (eV/atom): 0.851

CIF file:
```
data_TiMnBePb2
_space_group_name_H-M_alt 'P 4/m m m'
_space_group_IT_number 123
_space_group_name_Hall '-P 4 2'
_cell_length_a 5.075
_cell_length_b 5.075
_cell_length_c 4.179
_cell_angle_alpha 90.00
_cell_angle_beta 90.00
_cell_angle_gamma 90.00
loop_
_atom_site_label
_atom_site_type_symbol
_atom_site_fract_x
_atom_site_fract_y
_atom_site_fract_z
Ti1 Ti 0.000 0.000 0.000
Mn1 Mn 0.500 0.500 0.500
Be1 Be 0.500 0.500 0.000
Pb1 Pb 0.000 0.500 0.500
```


Entry 5:
Compound: MnBe2VPb
Source: the Alexandria database
Functional: PBE
Structure: relaxed

Uncorrected energy (eV/atom): -3.81
E_form (eV/atom): 2.081

CIF file:
```
data_MnBe2VPb
_space_group_name_H-M_alt 'P 4/m m m'
_space_group_IT_number 123
_space_group_name_Hall '-P 4 2'
_cell_length_a 4.391
_cell_length_b 4.391
_cell_length_c 5.185
_cell_angle_alpha 90.00
_cell_angle_beta 90.00
_cell_angle_gamma 90.00
loop_
_atom_site_label
_atom_site_type_symbol
_atom_site_fract_x
_atom_site_fract_y
_atom_site_fract_z
Mn1 Mn 0.000 0.000 0.000
Be1 Be 0.000 0.500 0.500
V1 V 0.500 0.500 0.000
Pb1 Pb 0.500 0.500 0.500
```


Entry 6:
Compound: MnBe2Pd
Source: the Alexandria database
Functional: PBE
Structure: relaxed

Uncorrected energy (eV/atom): -5.76
E_form (eV/atom): -0.303

CIF file:
```
data_MnBe2Pd
_space_group_name_H-M_alt 'P 4/m m m'
_space_group_IT_number 123
_space_group_name_Hall '-P 4 2'
_cell_length_a 2.760
_cell_length_b 2.760
_cell_length_c 5.598
_cell_angle_alpha 90.00
_cell_angle_beta 90.00
_cell_angle_gamma 90.00
loop_
_atom_site_label
_atom_site_type_symbol
_atom_site_fract_x
_atom_site_fract_y
_atom_site_fract_z
Mn1 Mn 0.000 0.000 0.000
Be1 Be 0.500 0.500 0.242
Pd1 Pd 0.000 0.000 0.500
```


Entry 7:
Compound: Mn3BePd
Source: the Alexandria database
Functional: PBE
Structure: relaxed

Distance to the lowest polymorph of the same formula (meV per atom): 0
Uncorrected energy (eV/atom): -6.55
E_form (eV/atom): 0.735

CIF file:
```
data_Mn3BePd
_space_group_name_H-M_alt 'P m -3 m'
_space_group_IT_number 221
_space_group_name_Hall '-P 4 2 3'
_cell_length_a 3.877
_cell_length_b 3.877
_cell_length_c 3.877
_cell_angle_alpha 90.00
_cell_angle_beta 90.00
_cell_angle_gamma 90.00
loop_
_atom_site_label
_atom_site_type_symbol
_atom_site_fract_x
_atom_site_fract_y
_atom_site_fract_z
Mn1 Mn 0.000 0.000 0.500
Be1 Be 0.000 0.000 0.000
Pd1 Pd 0.500 0.500 0.500
```


Entry 8:
Compound: MnBe5Pd4
Source: the Alexandria database
Functional: PBE
Structure: relaxed

Uncorrected energy (eV/atom): -5.34
E_form (eV/atom): -0.480

CIF file:
```
data_MnBe5Pd4
_space_group_name_H-M_alt 'P 4/m m m'
_space_group_IT_number 123
_space_group_name_Hall '-P 4 2'
_cell_length_a 2.806
_cell_length_b 2.806
_cell_length_c 14.008
_cell_angle_alpha 90.00
_cell_angle_beta 90.00
_cell_angle_gamma 90.00
loop_
_atom_site_label
_atom_site_type_symbol
_atom_site_fract_x
_atom_site_fract_y
_atom_site_fract_z
Mn1 Mn 0.000 0.000 0.000
Be1 Be 0.500 0.500 0.093
Be2 Be 0.500 0.500 0.296
Be3 Be 0.500 0.500 0.500
Pd1 Pd 0.000 0.000 0.196
Pd2 Pd 0.000 0.000 0.399
```


Entry 9:
Compound: Mn3BePd
Source: the Alexandria database
Functional: PBE
Structure: relaxed

Distance to the lowest polymorph of the same formula (meV per atom): 536
Uncorrected energy (eV/atom): -6.01
E_form (eV/atom): 1.271

CIF file:
```
data_Mn3BePd
_space_group_name_H-M_alt 'P m -3 m'
_space_group_IT_number 221
_space_group_name_Hall '-P 4 2 3'
_cell_length_a 4.783
_cell_length_b 4.783
_cell_length_c 4.783
_cell_angle_alpha 90.00
_cell_angle_beta 90.00
_cell_angle_gamma 90.00
loop_
_atom_site_label
_atom_site_type_symbol
_atom_site_fract_x
_atom_site_fract_y
_atom_site_fract_z
Mn1 Mn 0.000 0.000 0.500
Be1 Be 0.500 0.500 0.500
Pd1 Pd 0.000 0.000 0.000
```


Entry 10:
Compound: Mn2BePd
Source: the Alexandria database
Functional: PBE
Structure: relaxed

Uncorrected energy (eV/atom): -6.51
E_form (eV/atom): 0.307

CIF file:
```
data_Mn2BePd
_space_group_name_H-M_alt 'I -4 2 d'
_space_group_IT_number 122
_space_group_name_Hall 'I -4 2bw'
_cell_length_a 3.283
_cell_length_b 3.283
_cell_length_c 17.909
_cell_angle_alpha 90.00
_cell_angle_beta 90.00
_cell_angle_gamma 90.00
loop_
_atom_site_label
_atom_site_type_symbol
_atom_site_fract_x
_atom_site_fract_y
_atom_site_fract_z
Mn1 Mn 0.195 0.250 0.125
Be1 Be 0.000 0.000 0.000
Pd1 Pd 0.000 0.000 0.500
```


Entry 11:
Compound: MnBe5Pd6
Source: the Alexandria database
Functional: PBE
Structure: relaxed

Uncorrected energy (eV/atom): -5.39
E_form (eV/atom): -0.479

CIF file:
```
data_MnBe5Pd6
_space_group_name_H-M_alt 'P 1 2/m 1'
_space_group_IT_number 10
_cell_length_a 4.021
_cell_length_b 5.957
_cell_length_c 6.359
_cell_angle_alpha 90.00
_cell_angle_beta 108.29
_cell_angle_gamma 90.00
loop_
_space_group_symop_operation_xyz
'x,y,z'
'-x,-y,-z'
'-x,y,-z'
'x,-y,z'
loop_
_atom_site_label
_atom_site_type_symbol
_atom_site_fract_x
_atom_site_fract_y
_atom_site_fract_z
Mn1 Mn 0.000 0.000 0.000
Be1 Be 0.000 0.500 0.000
Be2 Be 0.335 0.000 0.670
Be3 Be 0.335 0.500 0.671
Pd1 Pd 0.172 0.257 0.343
Pd2 Pd 0.500 0.267 0.000
```


Entry 12:
Compound: MnBe4Pd
Source: the Alexandria database
Functional: PBE
Structure: relaxed

Uncorrected energy (eV/atom): -5.16
E_form (eV/atom): -0.279

CIF file:
```
data_MnBe4Pd
_space_group_name_H-M_alt 'F -4 3 m'
_space_group_IT_number 216
_space_group_name_Hall 'F -4 2 3'
_cell_length_a 6.185
_cell_length_b 6.185
_cell_length_c 6.185
_cell_angle_alpha 90.00
_cell_angle_beta 90.00
_cell_angle_gamma 90.00
loop_
_atom_site_label
_atom_site_type_symbol
_atom_site_fract_x
_atom_site_fract_y
_atom_site_fract_z
Mn1 Mn 0.000 0.000 0.000
Be1 Be 0.126 0.126 0.626
Pd1 Pd 0.250 0.250 0.250
```